12
Lattice="0.000 3.995 6.956 3.214 0.000 6.956 3.214 3.995 0.000" Properties=species:S:1:pos:R:3 comment="Zr2Be3Pd, relaxed, DFT PBE" magmom_total_mub_per_cell=0.00 e_form_ev_per_atom=-0.254 pbc="T T T"
Zr 4.833 3.995 6.956
Zr 1.607 1.998 3.478
Zr 4.820 5.993 10.434
Zr 1.595 3.995 6.956
Be 3.214 2.074 5.853
Be 3.214 2.074 8.059
Be 3.214 3.995 4.735
Be 3.214 3.995 9.178
Be 3.214 5.917 5.853
Be 3.214 5.917 8.059
Pd 3.214 3.995 2.322
Pd 3.214 3.995 11.591


4
Lattice="1.875 1.083 10.180 -1.875 1.083 10.180 0.000 -2.165 10.180" Properties=species:S:1:pos:R:3 comment="Ca2MnCl, relaxed, DFT PBE" relative_energy_kcal_per_mol_atoms=5.832 e_form_raw_ev_per_atom=-0.265 magmom_total_mub_per_cell=4.11 pbc="T T T"
Ca 0.000 0.000 0.000
Ca 0.000 0.000 6.915
Mn 0.000 0.000 22.720
Cl 0.000 0.000 15.362


6
Lattice="6.489 -2.030 0.000 6.489 2.030 0.000 -3.410 0.000 6.662" Properties=species:S:1:pos:R:3 comment="InSbS, relaxed, DFT PBE" relative_energy_kcal_per_mol_atoms=0.688 e_form_raw_ev_per_atom=-0.287 magmom_total_mub_per_cell=0.00 pbc="T T T"
In 0.000 0.000 0.000
In 0.776 0.000 4.271
Sb 2.905 0.000 0.180
Sb 10.669 0.000 1.731
S 3.206 0.000 5.031
S 6.879 0.000 2.858


5
Lattice="5.291 0.000 0.000 0.000 5.291 0.000 0.000 0.000 5.291" Properties=species:S:1:pos:R:3 comment="Cd3GeCl, relaxed, DFT PBE" relative_energy_kcal_per_mol_atoms=0.000 e_form_raw_ev_per_atom=-0.072 magmom_total_mub_per_cell=0.00 pbc="T T T"
Cd 0.000 0.000 2.646
Cd 0.000 2.646 0.000
Cd 2.646 0.000 0.000
Ge 0.000 0.000 0.000
Cl 2.646 2.646 2.646